Here is Pm2I3Br after structural relaxation from Alexandria via LeMat-Bulk. Energies are from PBE.

```
Pm2I3Br
1.0
8.1613 0.0000 0.0000
0.0000 7.1927 -4.1527
0.0000 0.0000 8.3054
Pm I Br
4 6 2
Cartesian
0.0000 0.0000 0.0000 Pm
0.0000 3.5964 -2.0764 Pm
0.0000 0.0000 4.1527 Pm
0.0000 3.5964 2.0764 Pm
6.0867 1.2017 6.2240 I
6.0867 4.7893 4.1527 I
6.0867 1.2017 2.0814 I
2.0746 5.9910 2.0713 I
2.0746 5.9910 -2.0713 I
2.0746 2.4034 0.0000 I
1.7441 2.3976 4.1527 Br
6.4172 4.7951 0.0000 Br
```

calculated volume = 487.5 Å³ per cell
offset from the most stable computed form = 0.0 meV/atom
energy relative to the elements, uncorrected = -1374 meV per atom
theoretical density = 5113 kg/m3